# V4IrN, optimized geometry, DFT GGA-PBE
data_V4IrN
_chemical_formula_sum 'V4 Ir1 N1'
_cell_length_a 5.560
_cell_length_b 5.560
_cell_length_c 2.794
_cell_angle_alpha 90.00
_cell_angle_beta 90.00
_cell_angle_gamma 96.34
_symmetry_space_group_name_H-M 'P 1'
_symmetry_Int_Tables_number 1
loop_
_symmetry_equiv_pos_as_xyz
'x,y,z'
loop_
_atom_site_label
_atom_site_fract_x
_atom_site_fract_y
_atom_site_fract_z
_atom_site_occupancy
V1 0.180 0.180 0.500 1
V2 0.243 0.757 0.000 1
V3 0.757 0.243 0.000 1
V4 0.820 0.820 0.500 1
Ir1 0.500 0.500 0.500 1
N1 0.000 0.000 0.000 1
# N(E_F), states/eV/f.u.: 5.6
# Formation energy without anion corrections, meV/atom: -117.6

***

# YTaIr, optimized geometry, DFT GGA-PBE
data_YTaIr
_chemical_formula_sum 'Y2 Ta2 Ir2'
_cell_length_a 3.515
_cell_length_b 4.571
_cell_length_c 7.797
_cell_angle_alpha 90.00
_cell_angle_beta 90.00
_cell_angle_gamma 90.00
_symmetry_space_group_name_H-M 'P 1'
_symmetry_Int_Tables_number 1
loop_
_symmetry_equiv_pos_as_xyz
'x,y,z'
loop_
_atom_site_label
_atom_site_fract_x
_atom_site_fract_y
_atom_site_fract_z
_atom_site_occupancy
Y1 0.250 0.250 0.148 1
Y2 0.750 0.750 0.852 1
Ta1 0.250 0.750 0.486 1
Ta2 0.750 0.250 0.514 1
Ir1 0.250 0.250 0.758 1
Ir2 0.750 0.750 0.242 1
# ΔH_f (0 K), eV per atom: -0.4828
# N(E_F), states/eV/f.u.: 2.8
# Offset from the most stable computed form, eV per atom: 0.0948

***

# NpPb2Br8, optimized geometry, DFT GGA-PBE
data_NpPb2Br8
_chemical_formula_sum 'Np1 Pb2 Br8'
_cell_length_a 7.958
_cell_length_b 7.958
_cell_length_c 7.061
_cell_angle_alpha 105.21
_cell_angle_beta 105.21
_cell_angle_gamma 74.83
_symmetry_space_group_name_H-M 'P 1'
_symmetry_Int_Tables_number 1
loop_
_symmetry_equiv_pos_as_xyz
'x,y,z'
loop_
_atom_site_label
_atom_site_fract_x
_atom_site_fract_y
_atom_site_fract_z
_atom_site_occupancy
Np1 0.000 0.000 0.000 1
Pb1 0.335 0.335 0.538 1
Pb2 0.665 0.665 0.462 1
Br1 0.050 0.655 0.755 1
Br2 0.125 0.125 0.755 1
Br3 0.345 0.950 0.245 1
Br4 0.424 0.424 0.217 1
Br5 0.576 0.576 0.783 1
Br6 0.655 0.050 0.755 1
Br7 0.875 0.875 0.245 1
Br8 0.950 0.345 0.245 1
# N(E_F), states/eV/f.u.: 4.7
# Formation energy without anion corrections, meV/atom: -1021.0

***

# SiSb3W, optimized geometry, DFT GGA-PBE
data_SiSb3W
_chemical_formula_sum 'Si1 Sb3 W1'
_cell_length_a 5.081
_cell_length_b 5.081
_cell_length_c 5.081
_cell_angle_alpha 90.00
_cell_angle_beta 90.00
_cell_angle_gamma 90.00
_symmetry_space_group_name_H-M 'P 1'
_symmetry_Int_Tables_number 1
loop_
_symmetry_equiv_pos_as_xyz
'x,y,z'
loop_
_atom_site_label
_atom_site_fract_x
_atom_site_fract_y
_atom_site_fract_z
_atom_site_occupancy
Si1 0.000 0.000 0.000 1
Sb1 0.000 0.000 0.500 1
Sb2 0.000 0.500 0.000 1
Sb3 0.500 0.000 0.000 1
W1 0.500 0.500 0.500 1
# N(E_F), states/eV/f.u.: 4.6
# Offset from the most stable computed form, eV per atom: 0.4707
# Formation energy without anion corrections, meV/atom: 1464.0

***

# Mg2Zn2Ga, optimized geometry, DFT GGA-PBE
data_Mg2Zn2Ga
_chemical_formula_sum 'Mg4 Zn4 Ga2'
_cell_length_a 5.245
_cell_length_b 5.245
_cell_length_c 10.202
_cell_angle_alpha 112.94
_cell_angle_beta 112.94
_cell_angle_gamma 47.10
_symmetry_space_group_name_H-M 'P 1'
_symmetry_Int_Tables_number 1
loop_
_symmetry_equiv_pos_as_xyz
'x,y,z'
loop_
_atom_site_label
_atom_site_fract_x
_atom_site_fract_y
_atom_site_fract_z
_atom_site_occupancy
Mg1 0.030 0.030 0.366 1
Mg2 0.339 0.339 0.798 1
Mg3 0.661 0.661 0.202 1
Mg4 0.970 0.970 0.634 1
Zn1 0.342 0.342 0.432 1
Zn2 0.358 0.358 0.184 1
Zn3 0.642 0.642 0.816 1
Zn4 0.658 0.658 0.568 1
Ga1 0.103 0.103 0.947 1
Ga2 0.897 0.897 0.053 1
# ΔH_f (0 K), eV per atom: -0.0624
# N(E_F), states/eV/f.u.: 1.0

***

# HoCl2F, optimized geometry, DFT GGA-PBE
data_HoCl2F
_chemical_formula_sum 'Ho1 Cl2 F1'
_cell_length_a 7.183
_cell_length_b 7.183
_cell_length_c 7.183
_cell_angle_alpha 148.00
_cell_angle_beta 144.89
_cell_angle_gamma 48.24
_symmetry_space_group_name_H-M 'P 1'
_symmetry_Int_Tables_number 1
loop_
_symmetry_equiv_pos_as_xyz
'x,y,z'
loop_
_atom_site_label
_atom_site_fract_x
_atom_site_fract_y
_atom_site_fract_z
_atom_site_occupancy
Ho1 0.000 0.000 0.000 1
Cl1 0.135 0.635 0.500 1
Cl2 0.865 0.365 0.500 1
F1 0.500 0.000 0.500 1
# N(E_F), states/eV/f.u.: 0.0
# Offset from the most stable computed form, eV per atom: 0.0000
# Formation energy without anion corrections, meV/atom: -2905.0

***

# HoAgHg6, optimized geometry, DFT GGA-PBE
data_HoAgHg6
_chemical_formula_sum 'Ho1 Ag1 Hg6'
_cell_length_a 4.971
_cell_length_b 6.496
_cell_length_c 6.496
_cell_angle_alpha 65.41
_cell_angle_beta 90.00
_cell_angle_gamma 90.00
_symmetry_space_group_name_H-M 'P 1'
_symmetry_Int_Tables_number 1
loop_
_symmetry_equiv_pos_as_xyz
'x,y,z'
loop_
_atom_site_label
_atom_site_fract_x
_atom_site_fract_y
_atom_site_fract_z
_atom_site_occupancy
Ho1 0.000 0.000 0.000 1
Ag1 0.500 0.234 0.234 1
Hg1 0.000 0.484 0.484 1
Hg2 0.000 0.494 0.999 1
Hg3 0.000 0.999 0.494 1
Hg4 0.500 0.304 0.755 1
Hg5 0.500 0.755 0.304 1
Hg6 0.500 0.802 0.802 1
# ΔH_f (0 K), eV per atom: -0.1043
# N(E_F), states/eV/f.u.: 3.4
# Offset from the most stable computed form, eV per atom: 0.0000

***

# Cu2ReAg, optimized geometry, DFT GGA-PBE
data_Cu2ReAg
_chemical_formula_sum 'Cu2 Re1 Ag1'
_cell_length_a 9.017
_cell_length_b 9.017
_cell_length_c 9.017
_cell_angle_alpha 17.45
_cell_angle_beta 17.45
_cell_angle_gamma 17.45
_symmetry_space_group_name_H-M 'P 1'
_symmetry_Int_Tables_number 1
loop_
_symmetry_equiv_pos_as_xyz
'x,y,z'
loop_
_atom_site_label
_atom_site_fract_x
_atom_site_fract_y
_atom_site_fract_z
_atom_site_occupancy
Cu1 0.000 0.000 0.000 1
Cu2 0.258 0.258 0.258 1
Re1 0.747 0.747 0.747 1
Ag1 0.506 0.506 0.506 1
# ΔH_f (0 K), eV per atom: 0.3503
# N(E_F), states/eV/f.u.: 4.8
# Offset from the most stable computed form, eV per atom: 0.0880

***

# Li2In3, optimized geometry, DFT GGA-PBE
data_Li2In3
_chemical_formula_sum 'Li2 In3'
_cell_length_a 5.029
_cell_length_b 5.029
_cell_length_c 5.029
_cell_angle_alpha 75.22
_cell_angle_beta 75.22
_cell_angle_gamma 75.22
_symmetry_space_group_name_H-M 'P 1'
_symmetry_Int_Tables_number 1
loop_
_symmetry_equiv_pos_as_xyz
'x,y,z'
loop_
_atom_site_label
_atom_site_fract_x
_atom_site_fract_y
_atom_site_fract_z
_atom_site_occupancy
Li1 0.120 0.120 0.120 1
Li2 0.880 0.880 0.880 1
In1 0.000 0.500 0.500 1
In2 0.500 0.000 0.500 1
In3 0.500 0.500 0.000 1
# ΔH_f (0 K), eV per atom: -0.0904
# N(E_F), states/eV/f.u.: 1.9
# Offset from the most stable computed form, eV per atom: 0.1168

***

# SrNi3As2, optimized geometry, DFT GGA-PBE
data_SrNi3As2
_chemical_formula_sum 'Sr3 Ni9 As6'
_cell_length_a 8.343
_cell_length_b 8.343
_cell_length_c 9.732
_cell_angle_alpha 102.93
_cell_angle_beta 102.93
_cell_angle_gamma 27.07
_symmetry_space_group_name_H-M 'P 1'
_symmetry_Int_Tables_number 1
loop_
_symmetry_equiv_pos_as_xyz
'x,y,z'
loop_
_atom_site_label
_atom_site_fract_x
_atom_site_fract_y
_atom_site_fract_z
_atom_site_occupancy
Sr1 0.000 0.000 0.000 1
Sr2 0.151 0.151 0.712 1
Sr3 0.849 0.849 0.288 1
Ni1 0.058 0.058 0.351 1
Ni2 0.219 0.219 0.396 1
Ni3 0.303 0.303 0.001 1
Ni4 0.367 0.367 0.781 1
Ni5 0.500 0.500 0.500 1
Ni6 0.633 0.633 0.219 1
Ni7 0.697 0.697 0.999 1
Ni8 0.781 0.781 0.604 1
Ni9 0.942 0.942 0.649 1
As1 0.199 0.199 0.138 1
As2 0.356 0.356 0.538 1
As3 0.485 0.485 0.243 1
As4 0.515 0.515 0.757 1
As5 0.644 0.644 0.462 1
As6 0.801 0.801 0.862 1
# ΔH_f (0 K), eV per atom: -0.5440
# N(E_F), states/eV/f.u.: 4.6
# Offset from the most stable computed form, eV per atom: 0.0063

***

# Sm7Dy2Sc3, optimized geometry, DFT GGA-PBE
data_Sm7Dy2Sc3
_chemical_formula_sum 'Sm7 Dy2 Sc3'
_cell_length_a 18.791
_cell_length_b 18.791
_cell_length_c 3.548
_cell_angle_alpha 90.00
_cell_angle_beta 90.00
_cell_angle_gamma 162.37
_symmetry_space_group_name_H-M 'P 1'
_symmetry_Int_Tables_number 1
loop_
_symmetry_equiv_pos_as_xyz
'x,y,z'
loop_
_atom_site_label
_atom_site_fract_x
_atom_site_fract_y
_atom_site_fract_z
_atom_site_occupancy
Sm1 0.000 0.000 0.000 1
Sm2 0.092 0.908 0.500 1
Sm3 0.271 0.729 0.000 1
Sm4 0.428 0.572 0.000 1
Sm5 0.572 0.428 0.000 1
Sm6 0.729 0.271 0.000 1
Sm7 0.908 0.092 0.500 1
Dy1 0.177 0.823 0.000 1
Dy2 0.823 0.177 0.000 1
Sc1 0.350 0.650 0.500 1
Sc2 0.500 0.500 0.500 1
Sc3 0.650 0.350 0.500 1
# ΔH_f (0 K), eV per atom: 0.1566
# N(E_F), states/eV/f.u.: 22.1

***

# Li3ReBr, optimized geometry, DFT GGA-PBE
data_Li3ReBr
_chemical_formula_sum 'Li3 Re1 Br1'
_cell_length_a 5.161
_cell_length_b 5.161
_cell_length_c 5.161
_cell_angle_alpha 90.00
_cell_angle_beta 90.00
_cell_angle_gamma 90.00
_symmetry_space_group_name_H-M 'P 1'
_symmetry_Int_Tables_number 1
loop_
_symmetry_equiv_pos_as_xyz
'x,y,z'
loop_
_atom_site_label
_atom_site_fract_x
_atom_site_fract_y
_atom_site_fract_z
_atom_site_occupancy
Li1 0.000 0.000 0.500 1
Li2 0.000 0.500 0.000 1
Li3 0.500 0.000 0.000 1
Re1 0.000 0.000 0.000 1
Br1 0.500 0.500 0.500 1
# N(E_F), states/eV/f.u.: 14.5
# Offset from the most stable computed form, eV per atom: 0.2721
# Formation energy without anion corrections, meV/atom: 921.0